Entry 1:
Below is a relaxed Ac2CeSi4 crystal, with properties calculated at the PBE level.

Computed properties:
- ΔE_f (raw) (meV/atom) = -571.2

a b c (Å): 4.1238 4.4636 18.8059
angles (deg): 90.00 90.00 90.00
Positions (direct):
Ac 0.0000 0.0000 0.1824
Ac 0.0000 0.0000 0.8176
Ac 0.5000 0.5000 0.3176
Ac 0.5000 0.5000 0.6824
Ce 0.0000 0.5000 0.5000
Ce 0.5000 0.0000 0.0000
Si 0.0000 0.0000 0.3711
Si 0.0000 0.0000 0.6289
Si 0.0000 0.5000 0.0615
Si 0.0000 0.5000 0.9385
Si 0.5000 0.0000 0.4385
Si 0.5000 0.0000 0.5615
Si 0.5000 0.5000 0.1289
Si 0.5000 0.5000 0.8711


Entry 2:
Below is a relaxed TbFePt6 crystal, with properties calculated at the PBE level.

Computed properties:
- relative energy among the computed polymorphs (meV/atom) = 230
- energy relative to the elements (meV/atom) = -364.7

a b c (Å): 3.8593 3.8593 9.8544
angles (deg): 90.00 90.00 90.00
Positions (direct):
Tb 0.0000 0.0000 0.0000
Fe 0.0000 0.0000 0.5000
Pt 0.0000 0.5000 0.3283
Pt 0.0000 0.5000 0.6717
Pt 0.5000 0.0000 0.3283
Pt 0.5000 0.0000 0.6717
Pt 0.5000 0.5000 0.1292
Pt 0.5000 0.5000 0.8708


Entry 3:
Below is a relaxed PmGdCuRu crystal, with properties calculated at the PBE level.

Computed properties:
- energy relative to the elements (meV/atom) = -238.3

a b c (Å): 6.9905 6.9905 6.9905
angles (deg): 90.00 90.00 90.00
Positions (direct):
Pm 0.0000 0.0000 0.0000
Pm 0.0000 0.5000 0.5000
Pm 0.5000 0.0000 0.5000
Pm 0.5000 0.5000 0.0000
Gd 0.0000 0.0000 0.5000
Gd 0.0000 0.5000 0.0000
Gd 0.5000 0.0000 0.0000
Gd 0.5000 0.5000 0.5000
Cu 0.2500 0.2500 0.7500
Cu 0.2500 0.7500 0.2500
Cu 0.7500 0.2500 0.2500
Cu 0.7500 0.7500 0.7500
Ru 0.2500 0.2500 0.2500
Ru 0.2500 0.7500 0.7500
Ru 0.7500 0.2500 0.7500
Ru 0.7500 0.7500 0.2500


Entry 4:
Below is a relaxed AcMg5Pt2 crystal, with properties calculated at the PBE level.

Computed properties:
- energy relative to the elements (meV/atom) = -655.7

a b c (Å): 4.2709 8.2979 10.2426
angles (deg): 90.00 90.00 90.00
Positions (direct):
Ac 0.0000 0.0000 0.0000
Ac 0.5000 0.5000 0.5000
Mg 0.0000 0.1822 0.3359
Mg 0.0000 0.1822 0.6641
Mg 0.0000 0.5000 0.0000
Mg 0.0000 0.8178 0.3359
Mg 0.0000 0.8178 0.6641
Mg 0.5000 0.0000 0.5000
Mg 0.5000 0.3178 0.1641
Mg 0.5000 0.3178 0.8359
Mg 0.5000 0.6822 0.1641
Mg 0.5000 0.6822 0.8359
Pt 0.0000 0.5000 0.2636
Pt 0.0000 0.5000 0.7364
Pt 0.5000 0.0000 0.2364
Pt 0.5000 0.0000 0.7636